VASP calculation (PBE+U) on crystalline NiP2IrO at its relaxed geometry.

Computed properties:
space group = P4/mmm, No. 123
raw total energy = -4.67 eV per atom
total moment = 0.00 μB/atom
relative energy among the computed polymorphs = 139 meV/atom

Lattice parameters (Å, degrees): 4.736 4.736 3.651 90.00 90.00 90.00
Atoms (fractional coordinates):
Ni 0.500 0.500 0.500
O 0.000 0.000 0.500
P 0.500 0.000 0.000
Ir 0.000 0.000 0.000
P 0.000 0.500 0.000